(1)
Cs2AgAuO4 after structural relaxation, computed with PBE-GGA.

## Properties
Total DFT energy (no corrections) in eV/atom: -4.107
Total magnetic moment in μB per formula unit: 0.0

Cell lengths 6.0960, 14.4320, 21.0524 Å; angles 90.00, 90.00, 90.00 degrees
Space group Fddd (No. 70, origin choice 2)
Unique sites:
Cs (0.1250, 0.1250, 0.2951)
Ag (0.1250, 0.1250, 0.1250)
Au (0.1250, 0.1250, 0.6250)
O (0.1235, 0.2817, 0.3758)



(2)
ThPa2Ge3 after structural relaxation, computed with PBE-GGA.

## Properties
Total DFT energy (no corrections) in eV/atom: -7.142
Total magnetic moment in μB per formula unit: 0.3

Cell lengths 7.5872, 9.8924, 14.7143 Å; angles 90.00, 90.00, 90.00 degrees
Space group Cmce (No. 64)
Unique sites:
Th (0.0000, 0.1722, 0.0788)
Pa (0.0000, 0.0749, 0.7677)
Pa (0.0000, 0.1336, 0.4025)
Ge (0.2487, 0.0910, 0.9241)
Ge (0.2500, 0.1754, 0.2500)



(3)
TmSc2Sb2 after structural relaxation, computed with PBE-GGA.

## Properties
Total DFT energy (no corrections) in eV/atom: -5.653
Total magnetic moment in μB per formula unit: 0.7

Cell lengths 9.8989, 11.4847, 5.7737 Å; angles 90.00, 123.90, 90.00 degrees
Space group C2/c (No. 15)
Unique sites:
Tm (0.0000, 0.0958, 0.2500)
Sc (0.1774, 0.4065, 0.9662)
Sb (0.0000, 0.1793, 0.7500)
Sb (0.0000, 0.3712, 0.2500)



(4)
Li2VTc after structural relaxation, computed with PBE-GGA.

## Properties
Excess energy over the best structure of this formula in the dataset in meV per atom: 0
Total magnetic moment in μB per formula unit: 0.8

Cell lengths 5.9873, 5.9873, 5.9873 Å; angles 90.00, 90.00, 90.00 degrees
Space group Fm-3m (No. 225)
Unique sites:
Li (0.2500, 0.2500, 0.2500)
V (0.0000, 0.0000, 0.0000)
Tc (0.0000, 0.0000, 0.5000)